No. 1
Compound: Cs2InHgAu
Source: Alexandria
Functional: PBE
Structure: relaxed

Lattice parameters (Å, degrees): 7.012 7.012 5.274 90.00 90.00 90.00
Atoms (fractional coordinates):
Cs 0.000 0.500 0.000
Cs 0.500 0.000 0.000
In 0.000 0.000 0.500
Hg 0.500 0.500 0.500
Au 0.000 0.000 0.000

Properties
- calculated density (kg/m3) = 4983
- symmetry = P4/mmm, No. 123
- E_form (eV/f.u.) = -0.7
- volume (Å³/atom) = 51.9

---

No. 2
Compound: CsIn2HgAu
Source: Alexandria
Functional: PBE
Structure: relaxed

Lattice parameters (Å, degrees): 5.507 5.507 5.845 90.00 90.00 90.00
Atoms (fractional coordinates):
In 0.500 0.000 0.000
In 0.000 0.500 0.000
Au 0.000 0.000 0.000
Cs 0.500 0.500 0.500
Hg 0.000 0.000 0.500

Properties
- calculated density (kg/m3) = 7121
- symmetry = P4/mmm, No. 123
- E_form (eV/f.u.) = -0.3
- volume (Å³/atom) = 35.4
- energy above the most stable polymorph in this dataset (meV/atom) = 64

---

No. 3
Compound: Cs2InHg6Au
Source: Alexandria
Functional: PBE
Structure: relaxed

Lattice parameters (Å, degrees): 8.098 8.100 8.109 60.01 60.01 89.88
Atoms (fractional coordinates):
Au 0.500 0.500 0.000
Hg 0.744 0.744 0.512
Hg 0.256 0.744 0.000
Hg 0.744 0.256 0.000
Hg 0.256 0.256 0.488
Hg 0.256 0.256 0.000
Hg 0.744 0.744 0.000
Cs 0.750 0.250 0.500
Cs 0.250 0.750 0.500
In 0.000 0.000 0.000

Properties
- calculated density (kg/m3) = 7853
- symmetry = Fmmm, No. 69
- E_form (eV/f.u.) = -1.7
- volume (Å³/atom) = 37.7

---

No. 4
Compound: Cs2InHg7Au2
Source: Alexandria
Functional: PBE
Structure: relaxed

Lattice parameters (Å, degrees): 5.011 5.011 15.722 84.42 84.42 89.58
Atoms (fractional coordinates):
Hg 0.644 0.644 0.569
Hg 0.500 0.500 0.000
Hg 0.356 0.356 0.431
Hg 0.951 0.451 0.138
Hg 0.049 0.549 0.862
Hg 0.549 0.049 0.862
Hg 0.451 0.951 0.138
Au 0.417 0.417 0.245
Au 0.583 0.583 0.755
In 0.000 0.000 0.000
Cs 0.891 0.891 0.329
Cs 0.109 0.109 0.671

Properties
- calculated density (kg/m3) = 9251
- symmetry = C2/m, No. 12
- E_form (eV/f.u.) = -1.6
- volume (Å³/atom) = 32.6

---

No. 5
Compound: CsInHgAu3
Source: Alexandria
Functional: PBE
Structure: relaxed

Lattice parameters (Å, degrees): 7.270 6.877 7.947 72.55 90.00 90.00
Atoms (fractional coordinates):
Hg 0.250 0.676 0.785
Hg 0.750 0.324 0.215
Au 0.557 0.701 0.011
Au 0.057 0.299 0.989
Au 0.750 0.202 0.576
Au 0.943 0.701 0.011
Au 0.250 0.798 0.424
Au 0.443 0.299 0.989
In 0.750 0.077 0.932
In 0.250 0.923 0.068
Cs 0.750 0.723 0.517
Cs 0.250 0.277 0.483

Properties
- calculated density (kg/m3) = 9105
- symmetry = P2_1/m, No. 11
- E_form (eV/f.u.) = -1.1
- volume (Å³/atom) = 31.6

---

No. 6
Compound: CsIn2HgAu
Source: Alexandria
Functional: PBE
Structure: relaxed

Lattice parameters (Å, degrees): 5.391 5.391 7.256 90.00 90.00 90.00
Atoms (fractional coordinates):
In 0.000 0.500 0.912
In 0.500 0.000 0.912
Au 0.000 0.000 0.990
Hg 0.500 0.500 0.718
Cs 0.000 0.000 0.469

Properties
- calculated density (kg/m3) = 5985
- symmetry = P4mm, No. 99
- E_form (eV/f.u.) = -0.6
- volume (Å³/atom) = 42.2
- energy above the most stable polymorph in this dataset (meV/atom) = 0

---

No. 7
Compound: CsInHgAu
Source: Alexandria
Functional: PBE
Structure: relaxed

Lattice parameters (Å, degrees): 4.911 4.911 7.415 70.66 70.66 60.00
Atoms (fractional coordinates):
Cs 0.811 0.811 0.566
Au 0.290 0.290 0.129
Hg 0.009 0.009 0.973
In 0.615 0.615 0.155

Properties
- calculated density (kg/m3) = 7487
- symmetry = R3m, No. 160
- E_form (eV/f.u.) = -0.8
- volume (Å³/atom) = 35.8

---

No. 8
Compound: Cs2KHg7Au2
Source: Alexandria
Functional: PBE
Structure: relaxed

Lattice parameters (Å, degrees): 4.968 4.968 16.902 84.18 84.18 89.71
Atoms (fractional coordinates):
K 0.000 0.000 0.000
Hg 0.447 0.948 0.156
Hg 0.948 0.447 0.156
Hg 0.661 0.661 0.560
Hg 0.553 0.052 0.844
Hg 0.052 0.553 0.844
Hg 0.339 0.339 0.440
Hg 0.500 0.500 0.000
Cs 0.116 0.116 0.662
Cs 0.884 0.884 0.338
Au 0.589 0.589 0.736
Au 0.411 0.411 0.264

Properties
- calculated density (kg/m3) = 8457
- symmetry = C2/m, No. 12
- E_form (eV/f.u.) = -2.6
- volume (Å³/atom) = 34.4

---

No. 9
Compound: CsKHgAu2
Source: Alexandria
Functional: PBE
Structure: relaxed

Lattice parameters (Å, degrees): 5.073 4.831 7.830 107.97 108.90 90.00
Atoms (fractional coordinates):
Au 0.685 0.185 0.370
Au 0.044 0.044 0.088
Hg 0.835 0.835 0.670
Cs 0.460 0.460 0.919
K 0.188 0.688 0.376

Properties
- calculated density (kg/m3) = 7416
- symmetry = Imm2, No. 44
- E_form (eV/f.u.) = -1.2
- volume (Å³/atom) = 34.3

---

No. 10
Compound: Cs4K2Hg2Au
Source: Alexandria
Functional: PBE
Structure: relaxed

Lattice parameters (Å, degrees): 7.583 9.116 9.116 64.97 80.53 80.53
Atoms (fractional coordinates):
Cs 0.284 0.650 0.127
Cs 0.284 0.127 0.650
Cs 0.716 0.350 0.873
Cs 0.716 0.873 0.350
Au 0.500 0.000 0.000
Hg 0.773 0.839 0.839
Hg 0.227 0.161 0.161
K 0.165 0.657 0.657
K 0.835 0.343 0.343

Properties
- calculated density (kg/m3) = 3581
- symmetry = C2/m, No. 12
- E_form (eV/f.u.) = -1.2
- volume (Å³/atom) = 62.2

---

No. 11
Compound: Cs2K5Hg2Au
Source: Alexandria
Functional: PBE
Structure: relaxed

Lattice parameters (Å, degrees): 4.646 14.830 14.830 90.00 90.00 90.00
Atoms (fractional coordinates):
K 0.500 0.319 0.556
K 0.500 0.556 0.681
K 0.500 0.000 0.500
K 0.500 0.444 0.319
K 0.500 0.500 0.000
K 0.500 0.944 0.181
K 0.500 0.681 0.444
K 0.500 0.056 0.819
K 0.500 0.819 0.944
K 0.500 0.181 0.056
Cs 0.000 0.677 0.177
Cs 0.000 0.823 0.677
Cs 0.000 0.177 0.323
Cs 0.000 0.323 0.823
Au 0.000 0.000 0.000
Au 0.000 0.500 0.500
Hg 0.000 0.867 0.367
Hg 0.000 0.367 0.133
Hg 0.000 0.133 0.633
Hg 0.000 0.633 0.867

Properties
- calculated density (kg/m3) = 3444
- symmetry = P4/mbm, No. 127
- E_form (eV/f.u.) = -1.2
- volume (Å³/atom) = 51.1

---

No. 12
Compound: CsK2Hg7Au2
Source: Alexandria
Functional: PBE
Structure: relaxed

Lattice parameters (Å, degrees): 5.478 5.478 14.932 74.12 74.12 91.70
Atoms (fractional coordinates):
Au 0.776 0.776 0.799
Au 0.224 0.224 0.201
Hg 0.734 0.343 0.207
Hg 0.266 0.657 0.793
Hg 0.804 0.804 0.590
Hg 0.196 0.196 0.410
Hg 0.343 0.734 0.207
Hg 0.500 0.500 0.000
Hg 0.657 0.266 0.793
Cs 0.000 0.000 0.000
K 0.264 0.264 0.631
K 0.736 0.736 0.369

Properties
- calculated density (kg/m3) = 8099
- symmetry = C2/m, No. 12
- E_form (eV/f.u.) = -2.2
- volume (Å³/atom) = 34.3

---

No. 13
Compound: Cs2K2Hg2Au
Source: Alexandria
Functional: PBE
Structure: relaxed

Lattice parameters (Å, degrees): 4.963 8.364 9.740 69.78 90.00 72.75
Atoms (fractional coordinates):
Cs 0.515 0.969 0.276
Cs 0.485 0.031 0.724
K 0.780 0.441 0.830
K 0.220 0.559 0.170
Au 0.000 0.000 0.000
Hg 0.206 0.588 0.543
Hg 0.794 0.412 0.457

Properties
- calculated density (kg/m3) = 4347
- symmetry = C2/m, No. 12
- E_form (eV/f.u.) = -1.4
- volume (Å³/atom) = 51.4

---

No. 14
Compound: Cs2KHg2Au2
Source: Alexandria
Functional: PBE
Structure: relaxed

Lattice parameters (Å, degrees): 5.215 5.215 13.035 78.46 78.46 60.00
Atoms (fractional coordinates):
Hg 0.290 0.290 0.129
Hg 0.710 0.710 0.871
Cs 0.106 0.106 0.682
Cs 0.894 0.894 0.318
Au 0.620 0.620 0.141
Au 0.380 0.380 0.859
K 0.000 0.000 0.000

Properties
- calculated density (kg/m3) = 6116
- symmetry = R-3m, No. 166
- E_form (eV/f.u.) = -1.9
- volume (Å³/atom) = 42.7

---

No. 15
Compound: Cs3K2Hg2Au4
Source: Alexandria
Functional: PBE
Structure: relaxed

Lattice parameters (Å, degrees): 5.658 5.658 15.265 100.68 100.68 90.00
Atoms (fractional coordinates):
K 0.693 0.693 0.385
K 0.307 0.307 0.615
Cs 0.850 0.850 0.700
Cs 0.000 0.000 0.000
Cs 0.150 0.150 0.300
Au 0.416 0.916 0.832
Au 0.084 0.584 0.168
Au 0.584 0.084 0.168
Au 0.916 0.416 0.832
Hg 0.579 0.579 0.158
Hg 0.421 0.421 0.842

Properties
- calculated density (kg/m3) = 5865
- symmetry = I4/mmm, No. 139
- E_form (eV/f.u.) = -1.6
- volume (Å³/atom) = 42.9

---

No. 16
Compound: CsK2Hg2Au2
Source: Alexandria
Functional: PBE
Structure: relaxed

Lattice parameters (Å, degrees): 5.018 5.018 13.075 78.94 78.94 60.00
Atoms (fractional coordinates):
Au 0.597 0.597 0.210
Au 0.403 0.403 0.790
K 0.120 0.120 0.640
K 0.880 0.880 0.360
Hg 0.265 0.265 0.206
Hg 0.735 0.735 0.794
Cs 0.000 0.000 0.000

Properties
- calculated density (kg/m3) = 6010
- symmetry = R-3m, No. 166
- E_form (eV/f.u.) = -1.9
- volume (Å³/atom) = 39.7

---

No. 17
Compound: CsKHg2Au2
Source: Alexandria
Functional: PBE
Structure: relaxed

Lattice parameters (Å, degrees): 5.028 5.028 9.254 90.00 90.00 120.00
Atoms (fractional coordinates):
Hg 0.333 0.667 0.277
Hg 0.667 0.333 0.723
Au 0.333 0.667 0.719
Au 0.667 0.333 0.281
Cs 0.000 0.000 0.000
K 0.000 0.000 0.500

Properties
- calculated density (kg/m3) = 7925
- symmetry = P-3m1, No. 164
- E_form (eV/f.u.) = -1.8
- volume (Å³/atom) = 33.8

---

No. 18
Compound: Cs2K4Hg2Au
Source: Alexandria
Functional: PBE
Structure: relaxed

Lattice parameters (Å, degrees): 8.670 8.420 7.793 87.37 111.57 110.90
Atoms (fractional coordinates):
Hg 0.141 0.842 0.805
Hg 0.859 0.158 0.195
Au 0.000 0.000 0.000
K 0.276 0.181 0.506
K 0.453 0.229 0.091
K 0.547 0.771 0.909
K 0.724 0.819 0.494
Cs 0.088 0.660 0.269
Cs 0.912 0.340 0.731

Properties
- calculated density (kg/m3) = 3445
- symmetry = P-1, No. 2
- E_form (eV/f.u.) = -1.5
- volume (Å³/atom) = 54.7

---

No. 19
Compound: Cs2K3Hg2Au4
Source: Alexandria
Functional: PBE
Structure: relaxed

Lattice parameters (Å, degrees): 5.612 5.612 14.707 101.00 101.00 90.00
Atoms (fractional coordinates):
Hg 0.554 0.554 0.107
Hg 0.446 0.446 0.893
Au 0.082 0.582 0.163
Au 0.582 0.082 0.163
Au 0.418 0.918 0.837
Au 0.918 0.418 0.837
K 0.000 0.000 0.000
K 0.862 0.862 0.723
K 0.138 0.138 0.277
Cs 0.678 0.678 0.356
Cs 0.322 0.322 0.644

Properties
- calculated density (kg/m3) = 5852
- symmetry = I4/mmm, No. 139
- E_form (eV/f.u.) = -1.9
- volume (Å³/atom) = 40.6

---

No. 20
Compound: CsK2HgAu2
Source: Alexandria
Functional: PBE
Structure: relaxed

Lattice parameters (Å, degrees): 4.825 8.993 10.744 90.00 90.00 90.00
Atoms (fractional coordinates):
Au 0.500 0.234 0.357
Au 0.000 0.250 0.901
Au 0.000 0.750 0.099
Au 0.500 0.734 0.643
K 0.000 0.892 0.808
K 0.500 0.540 0.921
K 0.000 0.392 0.192
K 0.500 0.040 0.079
Cs 0.000 0.445 0.564
Cs 0.000 0.945 0.436
Hg 0.500 0.684 0.252
Hg 0.500 0.184 0.748

Properties
- calculated density (kg/m3) = 5739
- symmetry = Pmc2_1, No. 26
- E_form (eV/f.u.) = -1.7
- volume (Å³/atom) = 38.9

---

No. 21
Compound: Cs5K2Hg2Au
Source: Alexandria
Functional: PBE
Structure: relaxed

Lattice parameters (Å, degrees): 4.758 16.039 16.039 90.00 90.00 90.00
Atoms (fractional coordinates):
Hg 0.000 0.640 0.860
Hg 0.000 0.140 0.640
Hg 0.000 0.860 0.360
Hg 0.000 0.360 0.140
Au 0.000 0.500 0.500
Au 0.000 0.000 0.000
K 0.000 0.814 0.686
K 0.000 0.686 0.186
K 0.000 0.314 0.814
K 0.000 0.186 0.314
Cs 0.500 0.184 0.052
Cs 0.500 0.500 0.000
Cs 0.500 0.816 0.948
Cs 0.500 0.316 0.552
Cs 0.500 0.684 0.448
Cs 0.500 0.448 0.316
Cs 0.500 0.052 0.816
Cs 0.500 0.000 0.500
Cs 0.500 0.948 0.184
Cs 0.500 0.552 0.684

Properties
- calculated density (kg/m3) = 3638
- symmetry = P4/mbm, No. 127
- E_form (eV/f.u.) = -1.5
- volume (Å³/atom) = 61.2

---

No. 22
Compound: Cs2KHg4Au3
Source: Alexandria
Functional: PBE
Structure: relaxed

Lattice parameters (Å, degrees): 5.111 5.111 12.880 90.00 90.00 90.00
Atoms (fractional coordinates):
Au 0.500 0.000 0.885
Au 0.000 0.500 0.115
Au 0.000 0.000 0.500
Hg 0.000 0.500 0.338
Hg 0.500 0.000 0.662
Hg 0.000 0.000 0.000
Hg 0.500 0.500 0.000
Cs 0.000 0.500 0.778
Cs 0.500 0.000 0.222
K 0.500 0.500 0.500

Properties
- calculated density (kg/m3) = 8381
- symmetry = P-4m2, No. 115
- E_form (eV/f.u.) = -2.2
- volume (Å³/atom) = 33.6